[1]
# La2HoInC

A relaxed La2HoInC crystal (GGA-PBE, the Alexandria database).

a b c (Å): 4.947 5.237 5.237
angles (deg): 90.00 90.00 90.00
Fractional positions:
C: 0.000 0.000 0.000
Ho: 0.500 0.000 0.000
In: 0.500 0.500 0.500
La: 0.000 0.000 0.500
La: 0.000 0.500 0.000

Computed properties:
- Crystal system: tetragonal
- Space-group type: P4/mmm, No. 123
- Spin magnetization: 0.00 μB per formula unit
- V: 27.129 Å³/atom
- Energy: -5.639 eV/atom
- Energy of formation from the pure elements: -0.360 eV/atom



[2]
# NdHo2InC

A relaxed NdHo2InC crystal (GGA-PBE, the Alexandria database).

a b c (Å): 5.126 4.911 4.911
angles (deg): 90.00 90.00 90.00
Fractional positions:
Nd: 0.500 0.000 0.000
C: 0.000 0.000 0.000
Ho: 0.000 0.000 0.500
Ho: 0.000 0.500 0.000
In: 0.500 0.500 0.500

Computed properties:
- Crystal system: tetragonal
- Space-group type: P4/mmm, No. 123
- Spin magnetization: 0.00 μB per formula unit
- V: 24.729 Å³/atom
- Energy: -5.616 eV/atom
- Energy of formation from the pure elements: -0.439 eV/atom



[3]
# Ho6In2CO

A relaxed Ho6In2CO crystal (GGA-PBE, the Alexandria database).

a b c (Å): 6.818 6.818 6.818
angles (deg): 60.00 60.00 60.00
Fractional positions:
C: 0.000 0.000 0.000
O: 0.500 0.500 0.500
Ho: 0.248 0.248 0.752
Ho: 0.752 0.752 0.248
Ho: 0.752 0.248 0.248
Ho: 0.248 0.752 0.752
Ho: 0.248 0.752 0.248
Ho: 0.752 0.248 0.752
In: 0.750 0.750 0.750
In: 0.250 0.250 0.250

Computed properties:
- Crystal system: cubic
- Space-group type: Fm-3m, No. 225
- Spin magnetization: 0.00 μB per formula unit
- V: 22.410 Å³/atom
- Energy: -5.731 eV/atom
- Uncorrected formation energy: -1.019 eV/atom



[4]
# PrHo2InC

A relaxed PrHo2InC crystal (GGA-PBE, the Alexandria database).

a b c (Å): 5.167 4.917 4.917
angles (deg): 90.00 90.00 90.00
Fractional positions:
Ho: 0.000 0.000 0.500
Ho: 0.000 0.500 0.000
C: 0.000 0.000 0.000
Pr: 0.500 0.000 0.000
In: 0.500 0.500 0.500

Computed properties:
- Crystal system: tetragonal
- Space-group type: P4/mmm, No. 123
- Spin magnetization: 0.00 μB per formula unit
- V: 24.988 Å³/atom
- Energy: -5.600 eV/atom
- Energy of formation from the pure elements: -0.420 eV/atom



[5]
# Pr2HoInC

A relaxed Pr2HoInC crystal (GGA-PBE, the Alexandria database).

a b c (Å): 4.906 5.188 5.188
angles (deg): 90.00 90.00 90.00
Fractional positions:
Pr: 0.000 0.500 0.000
Pr: 0.000 0.000 0.500
C: 0.000 0.000 0.000
In: 0.500 0.500 0.500
Ho: 0.500 0.000 0.000

Computed properties:
- Crystal system: tetragonal
- Space-group type: P4/mmm, No. 123
- Spin magnetization: 0.00 μB per formula unit
- V: 26.408 Å³/atom
- Energy: -5.565 eV/atom
- Energy of formation from the pure elements: -0.346 eV/atom



[6]
# Ho2InRuC

A relaxed Ho2InRuC crystal (GGA-PBE, the Alexandria database).

a b c (Å): 3.953 4.990 4.990
angles (deg): 90.00 90.00 90.00
Fractional positions:
Ho: 0.000 0.000 0.500
Ho: 0.000 0.500 0.000
C: 0.000 0.000 0.000
Ru: 0.500 0.000 0.000
In: 0.500 0.500 0.500

Computed properties:
- Crystal system: tetragonal
- Space-group type: P4/mmm, No. 123
- Spin magnetization: 0.00 μB per formula unit
- V: 19.691 Å³/atom
- Energy: -6.507 eV/atom
- Energy of formation from the pure elements: -0.428 eV/atom